Below is crystalline CuSi2Pb2 at its relaxed geometry, with properties calculated at the PBE-GGA level.

a = 6.293 Å, b = 6.293 Å, c = 5.491 Å
α = 90.00°, β = 90.00°, γ = 90.00°
Element x y z (fractional)
Pb 0.189 0.689 0.500
Pb 0.689 0.811 0.500
Pb 0.811 0.311 0.500
Pb 0.311 0.189 0.500
Si 0.362 0.862 0.000
Si 0.862 0.638 0.000
Si 0.638 0.138 0.000
Si 0.138 0.362 0.000
Cu 0.000 0.000 0.000
Cu 0.500 0.500 0.000

## Properties
Its crystal system is tetragonal. The calculation puts the formation energy from raw total energies at 141 kJ/mol of formula units. Its space-group type is P4/mbm, No. 127.



Below is crystalline CaGe3Te at its relaxed geometry, with properties calculated at the PBE-GGA level.

a = 5.423 Å, b = 5.423 Å, c = 5.423 Å
α = 90.00°, β = 90.00°, γ = 90.00°
Element x y z (fractional)
Ge 0.000 0.500 0.000
Ge 0.000 0.000 0.500
Ge 0.500 0.000 0.000
Te 0.000 0.000 0.000
Ca 0.500 0.500 0.500

## Properties
Its crystal system is cubic. The calculation puts the formation energy from raw total energies at 244 kJ/mol of formula units. Its space-group type is Pm-3m, No. 221. The excess energy over the best structure of this formula in the dataset is 0.000 eV/atom.



Below is crystalline LaTbSmTh2 at its relaxed geometry, with properties calculated at the PBE-GGA level.

a = 7.125 Å, b = 8.586 Å, c = 7.337 Å
α = 125.81°, β = 90.00°, γ = 90.00°
Element x y z (fractional)
La 0.250 0.746 0.492
La 0.750 0.254 0.508
Tb 0.750 0.721 0.442
Tb 0.250 0.279 0.558
Sm 0.250 0.009 0.018
Sm 0.750 0.991 0.982
Th 0.500 0.317 0.000
Th 0.000 0.683 0.000
Th 0.500 0.683 0.000
Th 0.000 0.317 0.000

## Properties
The formation energy comes out at 443 meV per atom. Its crystal system is orthorhombic. Its space-group type is Cmcm, No. 63.



Below is crystalline HgTeBr3 at its relaxed geometry, with properties calculated at the PBE-GGA level.

a = 9.854 Å, b = 5.783 Å, c = 18.051 Å
α = 90.00°, β = 54.52°, γ = 90.00°
Element x y z (fractional)
Hg 0.054 0.105 0.383
Hg 0.946 0.105 0.117
Hg 0.054 0.895 0.883
Hg 0.946 0.895 0.617
Te 0.087 0.466 0.152
Te 0.087 0.534 0.652
Te 0.913 0.466 0.348
Te 0.913 0.534 0.848
Br 0.651 0.232 0.396
Br 0.651 0.768 0.896
Br 0.221 0.272 0.783
Br 0.204 0.825 0.969
Br 0.221 0.728 0.283
Br 0.349 0.768 0.604
Br 0.796 0.825 0.531
Br 0.779 0.272 0.717
Br 0.796 0.175 0.031
Br 0.779 0.728 0.217
Br 0.349 0.232 0.104
Br 0.204 0.175 0.469

## Properties
Its crystal system is monoclinic. The calculation puts the formation energy from raw total energies at -162 kJ/mol of formula units. Its space-group type is P2/c, No. 13. The excess energy over the best structure of this formula in the dataset is 0.000 eV/atom.



Below is crystalline Rb5PdF6 at its relaxed geometry, with properties calculated at the PBE-GGA level.

a = 6.819 Å, b = 6.850 Å, c = 6.947 Å
α = 60.46°, β = 81.53°, γ = 72.63°
Each line ends with the local moment (μB).
Element x y z (fractional)
Rb 0.500 0.161 0.678  0.00
Rb 0.000 0.324 0.352  0.00
Rb 0.500 0.500 0.000  0.00
Rb 0.000 0.676 0.648  0.00
Rb 0.500 0.839 0.322  0.00
Pd 0.000 0.000 0.000  0.77
F 0.733 0.098 0.338  0.01
F 0.267 0.564 0.338  0.01
F 0.190 0.203 0.000  0.03
F 0.810 0.797 0.000  0.03
F 0.733 0.436 0.662  0.01
F 0.267 0.902 0.662  0.01

## Properties
Its crystal system is monoclinic. The calculation puts the formation energy from raw total energies at -2613 kJ/mol of formula units. Its space-group type is C2/m, No. 12.



Below is crystalline Ca4NiPb at its relaxed geometry, with properties calculated at the PBE-GGA level.

a = 6.482 Å, b = 6.482 Å, c = 6.482 Å
α = 60.00°, β = 60.00°, γ = 60.00°
Each line ends with the local moment (μB).
Element x y z (fractional)
Ca 0.874 0.375 0.375  -0.02
Ca 0.375 0.375 0.874  -0.02
Ca 0.375 0.874 0.375  -0.02
Ca 0.375 0.375 0.375  -0.02
Ni 0.750 0.750 0.750  0.33
Pb 0.000 0.000 0.000  0.01

## Properties
The formation energy comes out at 509 meV per atom. Its crystal system is cubic. Its space-group type is F-43m, No. 216.



| no. | total moment (Bohr magnetons per cell) |
| --- | --- |
| 1 | 0.00 |
| 2 | 0.00 |
| 3 | 0.00 |
| 4 | 0.00 |
| 5 | 1.00 |
| 6 | 0.11 |